No. 1
First-principles (SCAN) data for a PBEsol-optimized structure of TiSiGeB2, as listed in the Alexandria database.

Cell: 3.8590 3.8590 4.9400 Å, 90.00 90.00 90.00°
Atoms (fractional coordinates):
Ti 0.0000 0.0000 0.0000
Si 0.0000 0.0000 0.5000
Ge 0.5000 0.5000 0.0000
B 0.0000 0.5000 0.5000
B 0.5000 0.0000 0.5000

Its energy relative to the elements, uncorrected is 1.02 eV per atom. As for the total magnetization: 0.0 μB/cell. Its space-group type is P4/mmm (123).

***

No. 2
First-principles (SCAN) data for a PBEsol-optimized structure of SrY2Sc, as listed in the Alexandria database.

Cell: 11.8588 11.8588 11.8588 Å, 17.24 17.24 17.24°
Atoms (fractional coordinates):
Sr 0.0000 0.0000 0.0000
Y 0.2406 0.2406 0.2406
Y 0.7594 0.7594 0.7594
Sc 0.5000 0.5000 0.5000

The formation energy is 0.823 eV/f.u. Its energy above the most stable polymorph in this dataset is 0 meV per atom. As for the total magnetization: 0.2 μB/cell. Its space-group type is R-3m (166).

***

No. 3
First-principles (SCAN) data for a PBEsol-optimized structure of Tl2AgSb2, as listed in the Alexandria database.

Cell: 7.1819 7.1819 5.3729 Å, 90.00 90.00 90.00°
Atoms (fractional coordinates):
Tl 0.1727 0.3273 0.0000
Tl 0.3273 0.8273 0.0000
Tl 0.6727 0.1727 0.0000
Tl 0.8273 0.6727 0.0000
Ag 0.0000 0.0000 0.5000
Ag 0.5000 0.5000 0.5000
Sb 0.1424 0.6424 0.5000
Sb 0.3576 0.1424 0.5000
Sb 0.6424 0.8576 0.5000
Sb 0.8576 0.3576 0.5000

Its energy relative to the elements, uncorrected is 0.05 eV per atom. As for the total magnetization: 0.0 μB/cell. Its space-group type is P4/mbm (127).

***

No. 4
First-principles (SCAN) data for a PBEsol-optimized structure of ReSb4Br, as listed in the Alexandria database.

Cell: 6.0748 6.0748 6.0748 Å, 60.00 60.00 60.00°
Atoms (fractional coordinates):
Re 0.0000 0.0000 0.0000
Sb 0.3768 0.3768 0.3768
Sb 0.3768 0.3768 0.8697
Sb 0.3768 0.8697 0.3768
Sb 0.8697 0.3768 0.3768
Br 0.7500 0.7500 0.7500

Its energy relative to the elements, uncorrected is 1.14 eV per atom. As for the total magnetization: 4.7 μB/cell. Its space-group type is F-43m (216).

***

No. 5
First-principles (SCAN) data for a PBEsol-optimized structure of LiMn2PIr, as listed in the Alexandria database.

Cell: 4.6819 4.6819 4.3711 Å, 90.00 90.00 90.00°
Atoms (fractional coordinates):
Li 0.0000 0.0000 0.0000
Mn 0.0000 0.5000 0.5000
Mn 0.5000 0.0000 0.5000
P 0.5000 0.5000 0.0000
Ir 0.0000 0.0000 0.5000

The formation energy is 2.789 eV/f.u. As for the total magnetization: 8.8 μB/cell. Its space-group type is P4/mmm (123).

***

No. 6
First-principles (SCAN) data for a PBEsol-optimized structure of Cu2IBr, as listed in the Alexandria database.

Cell: 7.0627 7.0627 7.0627 Å, 132.02 132.02 70.20°
Atoms (fractional coordinates):
Cu 0.1088 0.6250 0.9838
Cu 0.3750 0.3588 0.4838
Cu 0.6412 0.1250 0.0162
Cu 0.8750 0.8912 0.5162
I 0.2500 0.7500 0.5000
I 0.5000 0.5000 0.0000
Br 0.0000 0.0000 0.0000
Br 0.7500 0.2500 0.5000

Its energy relative to the elements, uncorrected is -0.18 eV per atom. As for the total magnetization: 0.0 μB/cell. Its space-group type is I-42d (122).

***

No. 7
First-principles (SCAN) data for a PBEsol-optimized structure of ScBe4Os, as listed in the Alexandria database.

Cell: 4.4809 4.4809 4.4809 Å, 60.00 60.00 60.00°
Atoms (fractional coordinates):
Sc 0.0000 0.0000 0.0000
Be 0.3771 0.3771 0.3771
Be 0.3771 0.3771 0.8686
Be 0.3771 0.8686 0.3771
Be 0.8686 0.3771 0.3771
Os 0.7500 0.7500 0.7500

The formation energy is -2.390 eV/f.u. As for the total magnetization: 0.2 μB/cell. Its space-group type is F-43m (216).

***

No. 8
First-principles (SCAN) data for a PBEsol-optimized structure of NiAsRh, as listed in the Alexandria database.

Cell: 3.5580 3.5580 6.1077 Å, 90.00 90.00 90.00°
Atoms (fractional coordinates):
Ni 0.2500 0.7500 0.0000
Ni 0.7500 0.2500 0.0000
As 0.2500 0.2500 0.2519
As 0.7500 0.7500 0.7481
Rh 0.2500 0.2500 0.6386
Rh 0.7500 0.7500 0.3614

The formation energy is -1.484 eV/f.u. As for the total magnetization: 0.0 μB/cell. Its space-group type is P4/nmm (129).

***

No. 9
First-principles (SCAN) data for a PBEsol-optimized structure of LiMnPt2, as listed in the Alexandria database.

Cell: 3.0174 3.0174 5.8772 Å, 90.00 90.00 90.00°
Atoms (fractional coordinates):
Li 0.0000 0.0000 0.0000
Mn 0.0000 0.0000 0.5000
Pt 0.5000 0.5000 0.2414
Pt 0.5000 0.5000 0.7586

The formation energy is -2.889 eV/f.u. Its energy above the most stable polymorph in this dataset is 20 meV per atom. As for the total magnetization: 4.5 μB/cell. Its space-group type is P4/mmm (123).

***

No. 10
First-principles (SCAN) data for a PBEsol-optimized structure of KNbBr2, as listed in the Alexandria database.

Cell: 9.0582 9.0582 9.0582 Å, 141.62 141.62 55.40°
Atoms (fractional coordinates):
K 0.0000 0.0000 0.0000
K 0.7500 0.2500 0.5000
Nb 0.2500 0.7500 0.5000
Nb 0.5000 0.5000 0.0000
Br 0.2046 0.6250 0.0796
Br 0.3750 0.4546 0.5796
Br 0.5454 0.1250 0.9204
Br 0.8750 0.7954 0.4204

Its energy relative to the elements, uncorrected is -0.42 eV per atom. As for the total magnetization: 8.0 μB/cell. Its space-group type is I-42d (122).

***

No. 11
First-principles (SCAN) data for a PBEsol-optimized structure of ScCoTe, as listed in the Alexandria database.

Cell: 4.8572 4.8572 4.8572 Å, 136.37 136.37 63.41°
Atoms (fractional coordinates):
Sc 0.0000 0.0000 0.0000
Co 0.3604 0.3604 0.0000
Te 0.6691 0.6691 0.0000

Its energy relative to the elements, uncorrected is -0.13 eV per atom. As for the total magnetization: 0.0 μB/cell. Its space-group type is I4mm (107).

***

No. 12
First-principles (SCAN) data for a PBEsol-optimized structure of Y2HgO, as listed in the Alexandria database.

Cell: 6.1676 6.1676 6.1676 Å, 114.41 114.41 100.00°
Atoms (fractional coordinates):
Y 0.0305 0.6250 0.9055
Y 0.3750 0.2805 0.4055
Y 0.7195 0.1250 0.0945
Y 0.8750 0.9695 0.5945
Hg 0.2500 0.7500 0.5000
Hg 0.5000 0.5000 0.0000
O 0.0000 0.0000 0.0000
O 0.7500 0.2500 0.5000

Its energy relative to the elements, uncorrected is -1.85 eV per atom. As for the total magnetization: 0.0 μB/cell. Its space-group type is I-42d (122).

***

No. 13
First-principles (SCAN) data for a PBEsol-optimized structure of Ti2Ge2W, as listed in the Alexandria database.

Cell: 6.6154 6.6154 3.4685 Å, 90.00 90.00 90.00°
Atoms (fractional coordinates):
Ti 0.1704 0.3296 0.0000
Ti 0.3296 0.8296 0.0000
Ti 0.6704 0.1704 0.0000
Ti 0.8296 0.6704 0.0000
Ge 0.1328 0.6328 0.5000
Ge 0.3672 0.1328 0.5000
Ge 0.6328 0.8672 0.5000
Ge 0.8672 0.3672 0.5000
W 0.0000 0.0000 0.5000
W 0.5000 0.5000 0.5000

The formation energy is -2.771 eV/f.u. As for the total magnetization: 0.0 μB/cell. Its space-group type is P4/mbm (127).

***

No. 14
First-principles (SCAN) data for a PBEsol-optimized structure of TaCd2Cl, as listed in the Alexandria database.

Cell: 3.0258 3.0258 8.4673 Å, 90.00 90.00 90.00°
Atoms (fractional coordinates):
Ta 0.0000 0.0000 0.0000
Cd 0.5000 0.5000 0.2470
Cd 0.5000 0.5000 0.7530
Cl 0.0000 0.0000 0.5000

Its energy relative to the elements, uncorrected is 0.01 eV per atom. Its energy above the most stable polymorph in this dataset is 81 meV per atom. As for the total magnetization: 0.0 μB/cell. Its space-group type is P4/mmm (123).

***

No. 15
First-principles (SCAN) data for a PBEsol-optimized structure of LiHAu2, as listed in the Alexandria database.

Cell: 4.1453 4.1453 4.1453 Å, 60.00 60.00 60.00°
Atoms (fractional coordinates):
Li 0.0000 0.0000 0.0000
H 0.5000 0.5000 0.5000
Au 0.2500 0.2500 0.2500
Au 0.7500 0.7500 0.7500

As for the total magnetization: 0.0 μB/cell. Its space-group type is Fm-3m (225).

***

No. 16
First-principles (SCAN) data for a PBEsol-optimized structure of MgTc2Mo, as listed in the Alexandria database.

Cell: 5.1103 5.1103 5.1103 Å, 137.99 137.99 60.91°
Atoms (fractional coordinates):
Mg 0.0000 0.0000 0.0000
Tc 0.2500 0.7500 0.5000
Tc 0.5000 0.5000 0.0000
Mo 0.7500 0.2500 0.5000

The formation energy is 1.100 eV/f.u. As for the total magnetization: 0.0 μB/cell. Its space-group type is I-4m2 (119).

***

No. 17
First-principles (SCAN) data for a PBEsol-optimized structure of Ni3AgMo, as listed in the Alexandria database.

Cell: 4.3909 4.3909 4.3909 Å, 90.00 90.00 90.00°
Atoms (fractional coordinates):
Ni 0.0000 0.0000 0.5000
Ni 0.0000 0.5000 0.0000
Ni 0.5000 0.0000 0.0000
Ag 0.5000 0.5000 0.5000
Mo 0.0000 0.0000 0.0000

The formation energy is 7.147 eV/f.u. As for the total magnetization: 0.0 μB/cell. Its space-group type is Pm-3m (221).

***

No. 18
First-principles (SCAN) data for a PBEsol-optimized structure of ZrZnAg2O, as listed in the Alexandria database.

Cell: 5.1942 5.1942 5.2834 Å, 90.00 90.00 90.00°
Atoms (fractional coordinates):
Zr 0.0000 0.0000 0.0000
Zn 0.0000 0.0000 0.5000
Ag 0.0000 0.5000 0.0000
Ag 0.5000 0.0000 0.0000
O 0.5000 0.5000 0.5000

Its energy relative to the elements, uncorrected is 1.61 eV per atom. As for the total magnetization: 2.1 μB/cell. Its space-group type is P4/mmm (123).

***

No. 19
First-principles (SCAN) data for a PBEsol-optimized structure of Ca2ZnAs, as listed in the Alexandria database.

Cell: 4.8091 4.8091 3.9430 Å, 90.00 90.00 90.00°
Atoms (fractional coordinates):
Ca 0.0000 0.5000 0.0000
Ca 0.5000 0.0000 0.0000
Zn 0.0000 0.0000 0.5000
As 0.5000 0.5000 0.5000

The formation energy is -2.938 eV/f.u. Its energy above the most stable polymorph in this dataset is 104 meV per atom. As for the total magnetization: 0.0 μB/cell. Its space-group type is P4/mmm (123).

***

No. 20
First-principles (SCAN) data for a PBEsol-optimized structure of GaGe3Os, as listed in the Alexandria database.

Cell: 4.7554 4.7554 4.7554 Å, 90.00 90.00 90.00°
Atoms (fractional coordinates):
Ga 0.0000 0.0000 0.0000
Ge 0.0000 0.5000 0.5000
Ge 0.5000 0.0000 0.5000
Ge 0.5000 0.5000 0.0000
Os 0.5000 0.5000 0.5000

The formation energy is 2.321 eV/f.u. As for the total magnetization: 0.0 μB/cell. Its space-group type is Pm-3m (221).

***

No. 21
First-principles (SCAN) data for a PBEsol-optimized structure of MnAl, as listed in the Alexandria database.

Cell: 4.0106 4.0106 4.0106 Å, 60.00 60.00 60.00°
Atoms (fractional coordinates):
Mn 0.0000 0.0000 0.0000
Al 0.7500 0.7500 0.7500

The formation energy is 2.180 eV/f.u. As for the total magnetization: 3.7 μB/cell. Its space-group type is F-43m (216).

***

No. 22
First-principles (SCAN) data for a PBEsol-optimized structure of BaCo2Ni, as listed in the Alexandria database.

Cell: 4.4937 4.4937 4.4937 Å, 60.00 60.00 60.00°
Atoms (fractional coordinates):
Ba 0.0000 0.0000 0.0000
Co 0.2500 0.2500 0.2500
Co 0.5000 0.5000 0.5000
Ni 0.7500 0.7500 0.7500

The formation energy is 4.458 eV/f.u. Its energy above the most stable polymorph in this dataset is 126 meV per atom. As for the total magnetization: 3.3 μB/cell. Its space-group type is F-43m (216).

***

No. 23
First-principles (SCAN) data for a PBEsol-optimized structure of Hg2OsBr, as listed in the Alexandria database.

Cell: 2.8227 2.8227 12.2158 Å, 90.00 90.00 118.67°
Atoms (fractional coordinates):
Hg 0.0000 0.0000 0.2052
Hg 0.0000 0.0000 0.7948
Os 0.5000 0.5000 0.0000
Br 0.5000 0.5000 0.5000

Its energy relative to the elements, uncorrected is 0.83 eV per atom. Its energy above the most stable polymorph in this dataset is 0 meV per atom. As for the total magnetization: 0.8 μB/cell. Its space-group type is Cmmm (65).

***

No. 24
First-principles (SCAN) data for a PBEsol-optimized structure of Y2ScAl, as listed in the Alexandria database.

Cell: 10.3980 10.3980 10.3980 Å, 18.83 18.83 18.83°
Atoms (fractional coordinates):
Y 0.0000 0.0000 0.0000
Y 0.2369 0.2369 0.2369
Sc 0.4802 0.4802 0.4802
Al 0.7432 0.7432 0.7432

The formation energy is -0.226 eV/f.u. As for the total magnetization: 0.2 μB/cell. Its space-group type is R3m (160).

***

No. 25
First-principles (SCAN) data for a PBEsol-optimized structure of TaMnRe, as listed in the Alexandria database.

Cell: 4.0773 4.0773 4.0773 Å, 60.00 60.00 60.00°
Atoms (fractional coordinates):
Ta 0.0000 0.0000 0.0000
Mn 0.7500 0.7500 0.7500
Re 0.5000 0.5000 0.5000

The formation energy is 1.141 eV/f.u. As for the total magnetization: 0.0 μB/cell. Its space-group type is F-43m (216).

***

No. 26
First-principles (SCAN) data for a PBEsol-optimized structure of ZrTa3Mn, as listed in the Alexandria database.

Cell: 4.8120 4.8120 4.8120 Å, 90.00 90.00 90.00°
Atoms (fractional coordinates):
Zr 0.0000 0.0000 0.0000
Ta 0.0000 0.0000 0.5000
Ta 0.0000 0.5000 0.0000
Ta 0.5000 0.0000 0.0000
Mn 0.5000 0.5000 0.5000

The formation energy is 9.801 eV/f.u. As for the total magnetization: 4.2 μB/cell. Its space-group type is Pm-3m (221).

***

No. 27
First-principles (SCAN) data for a PBEsol-optimized structure of GaCoSe2N, as listed in the Alexandria database.

Cell: 4.9263 4.9263 3.3343 Å, 90.00 90.00 90.00°
Atoms (fractional coordinates):
Ga 0.0000 0.0000 0.0000
Co 0.5000 0.5000 0.5000
Se 0.0000 0.5000 0.5000
Se 0.5000 0.0000 0.5000
N 0.5000 0.5000 0.0000

Its energy relative to the elements, uncorrected is 0.33 eV per atom. As for the total magnetization: 0.0 μB/cell. Its space-group type is P4/mmm (123).

***

No. 28
First-principles (SCAN) data for a PBEsol-optimized structure of Mn2TlSi, as listed in the Alexandria database.

Cell: 4.6421 4.6421 2.8230 Å, 90.00 90.00 105.62°
Atoms (fractional coordinates):
Mn 0.0000 0.5000 0.0000
Mn 0.5000 0.0000 0.0000
Tl 0.0000 0.0000 0.5000
Si 0.5000 0.5000 0.5000

Its energy relative to the elements, uncorrected is 0.26 eV per atom. As for the total magnetization: 6.5 μB/cell. Its space-group type is Cmmm (65).

***

| no. | V (Å³/cell) | uncorrected energy (eV per atom) |
| --- | --- | --- |
| 1 | 74 | -10.98 |
| 2 | 128 | -22.84 |
| 3 | 277 | -50.07 |
| 4 | 159 | -38.79 |
| 5 | 96 | -23.52 |
| 6 | 191 | -21.83 |
| 7 | 64 | -17.65 |
| 8 | 77 | -23.87 |
| 9 | 54 | -40.98 |
| 10 | 284 | -20.51 |
| 11 | 54 | -23.06 |
| 12 | 177 | -34.37 |
| 13 | 152 | -28.54 |
| 14 | 78 | -33.84 |
| 15 | 50 | -35.80 |
| 16 | 59 | -27.22 |
| 17 | 85 | -21.53 |
| 18 | 143 | -21.02 |
| 19 | 91 | -13.99 |
| 20 | 108 | -28.63 |
| 21 | 46 | -11.91 |
| 22 | 64 | -21.47 |
| 23 | 85 | -56.09 |
| 24 | 102 | -19.48 |
| 25 | 48 | -51.60 |
| 26 | 111 | -47.78 |
| 27 | 81 | -16.29 |
| 28 | 59 | -29.47 |